[1]
Below is a relaxed Ag2PbBr6 crystal, with properties calculated at the PBE level.

Lattice parameters (Å, degrees): 9.9341 9.9341 7.1031 100.20 100.20 80.86
With the nearest neighbours (Å) after each atom.
Fractional coordinates of all 18 atoms:
Ag  0.0925  0.3153  0.0326  4 Br 2.58-2.66
Ag  0.3153  0.0925  0.5326  4 Br 2.58-2.66
Ag  0.6847  0.9075  0.4674  4 Br 2.58-2.66
Ag  0.9075  0.6847  0.9674  4 Br 2.58-2.66
Pb  0.4059  0.5941  0.7500  4 Br 2.86-3.02
Pb  0.5941  0.4059  0.2500  4 Br 2.86-3.02
Br  0.0862  0.4946  0.7966  2 Ag 2.64-2.66
Br  0.0954  0.1603  0.2884  2 Ag 2.58-2.61
Br  0.1603  0.0954  0.7884  2 Ag 2.58-2.61
Br  0.3190  0.4624  0.3380  2 Pb 2.86-3.02, 1 Ag 3.18
Br  0.4624  0.3190  0.8380  2 Pb 2.86-3.02, 1 Ag 3.18
Br  0.4946  0.0862  0.2966  2 Ag 2.64-2.66
Br  0.5054  0.9138  0.7034  2 Ag 2.64-2.66
Br  0.5376  0.6810  0.1620  2 Pb 2.86-3.02, 1 Ag 3.18
Br  0.6810  0.5376  0.6620  2 Pb 2.86-3.02, 1 Ag 3.18
Br  0.8397  0.9046  0.2116  2 Ag 2.58-2.61
Br  0.9046  0.8397  0.7116  2 Ag 2.58-2.61
Br  0.9138  0.5054  0.2034  2 Ag 2.64-2.66

## Properties
Formation energy (no corrections) (kJ/mol of formula units): -343.4
Fermi-level density of states (states/eV per cell): 12.4
Energy (eV per atom): -2.56



[2]
Below is a relaxed AlHg2I6 crystal, with properties calculated at the PBE level.

Lattice parameters (Å, degrees): 11.0040 11.0040 9.6885 103.23 103.23 103.71
With the nearest neighbours (Å) after each atom.
Fractional coordinates of all 18 atoms:
Al  0.1999  0.8001  0.7500  4 I 2.56-2.58
Al  0.8001  0.1999  0.2500  4 I 2.56-2.58
Hg  0.2222  0.3537  0.5616  4 I 2.85-3.18
Hg  0.3537  0.2222  0.0616  4 I 2.85-3.18
Hg  0.6463  0.7778  0.9384  4 I 2.85-3.18
Hg  0.7778  0.6463  0.4384  4 I 2.85-3.18
I  0.0640  0.8351  0.5162  1 Al 2.58
I  0.1256  0.5631  0.7564  1 Al 2.56
I  0.1649  0.9360  0.9838  1 Al 2.58
I  0.2887  0.3772  0.2991  2 Hg 2.85-2.87
I  0.3772  0.2887  0.7991  2 Hg 2.85-2.87
I  0.4369  0.8744  0.7436  1 Al 2.56
I  0.5631  0.1256  0.2564  1 Al 2.56
I  0.6228  0.7113  0.2009  2 Hg 2.85-2.87
I  0.7113  0.6228  0.7009  2 Hg 2.85-2.87
I  0.8351  0.0640  0.0162  1 Al 2.58
I  0.8744  0.4369  0.2436  1 Al 2.56
I  0.9360  0.1649  0.4838  1 Al 2.58

## Properties
Formation energy (no corrections) (kJ/mol of formula units): -330.6
Fermi-level density of states (states/eV per cell): 7.0
Energy (eV per atom): -1.90